Computed, not measured: LaLuBe after structural relaxation at the PBE-GGA level of DFT.

Unit cell a=6.583 b=6.583 c=6.583 alpha=148.99 beta=148.99 gamma=44.43
Fractional positions:
La  0.000  0.000  0.000
Lu  0.270  0.270  0.000
Be  0.657  0.657  0.000

Computed properties:
electronic total energy: -12.8 eV per cell
magnetization: 0.0 Bohr magnetons per cell
DOS(E_F): 3.4 states/eV/cell
crystal system: tetragonal